(1)
Here is an optimized crystal structure of BeInP2 from Alexandria. Energies are from PBE.

Cell and atoms, written as CIF:
```
data_BeInP2
_symmetry_space_group_name_H-M 'P 4 m m'
_symmetry_Int_Tables_number 99
_symmetry_space_group_name_Hall 'P 4 -2'
_cell_length_a 3.245
_cell_length_b 3.245
_cell_length_c 6.617
_cell_angle_alpha 90.00
_cell_angle_beta 90.00
_cell_angle_gamma 90.00
loop_
_atom_site_label
_atom_site_type_symbol
_atom_site_fract_x
_atom_site_fract_y
_atom_site_fract_z
Be1 Be 0.000 0.000 0.000
In1 In 0.500 0.500 0.252
P1 P 0.000 0.000 0.680
P2 P 0.500 0.500 0.793
```

## Properties
* final energy: -15.75 eV per formula unit
* magnetic moment: 0.00 μB/cell
* energy of formation from the pure elements: 0.383 eV per atom
* crystal system: tetragonal



(2)
Here is an optimized crystal structure of TbPm8Pb2 from Alexandria. Energies are from PBE.

Cell and atoms, written as CIF:
```
data_TbPm8Pb2
_symmetry_space_group_name_H-M 'C 1 2/m 1'
_symmetry_Int_Tables_number 12
_symmetry_space_group_name_Hall '-C 2y'
_cell_length_a 16.705
_cell_length_b 6.877
_cell_length_c 6.448
_cell_angle_alpha 90.00
_cell_angle_beta 95.08
_cell_angle_gamma 90.00
loop_
_atom_site_label
_atom_site_type_symbol
_atom_site_fract_x
_atom_site_fract_y
_atom_site_fract_z
Tb1 Tb 0.000 0.000 0.000
Pm1 Pm 0.083 0.500 0.898
Pm2 Pm 0.096 0.255 0.400
Pm3 Pm 0.208 0.000 0.834
Pb1 Pb 0.244 0.500 0.668
```

## Properties
* final energy: -51.12 eV per formula unit
* magnetic moment: 0.00 μB/cell
* energy of formation from the pure elements: -0.097 eV per atom
* crystal system: monoclinic



(3)
Here is an optimized crystal structure of RuSN2 from Alexandria. Energies are from PBE.

Cell and atoms, written as CIF:
```
data_RuSN2
_symmetry_space_group_name_H-M 'R -3 m'
_symmetry_Int_Tables_number 166
_symmetry_space_group_name_Hall '-R 3 2"'
_cell_length_a 2.9560
_cell_length_b 2.9560
_cell_length_c 17.9622
_cell_angle_alpha 90.00
_cell_angle_beta 90.00
_cell_angle_gamma 120.00
loop_
_atom_site_label
_atom_site_type_symbol
_atom_site_fract_x
_atom_site_fract_y
_atom_site_fract_z
Ru1 Ru 0.0000 0.0000 0.0000
S1 S 0.0000 0.0000 0.5000
N1 N 0.0000 0.0000 0.3998
```

## Properties
* final energy: -26.82 eV per formula unit
* E_form (uncorrected): 3.24 eV/f.u.
* magnetic moment: 0.00 μB/cell
* crystal system: trigonal



(4)
Here is an optimized crystal structure of Lu12Ni3H5 from Alexandria. Energies are from PBE.

Cell and atoms, written as CIF:
```
data_Lu12Ni3H5
_symmetry_space_group_name_H-M 'I a -3 d'
_symmetry_Int_Tables_number 230
_symmetry_space_group_name_Hall '-I 4bd 2c 3'
_cell_length_a 14.586
_cell_length_b 14.586
_cell_length_c 14.586
_cell_angle_alpha 90.00
_cell_angle_beta 90.00
_cell_angle_gamma 90.00
loop_
_atom_site_label
_atom_site_type_symbol
_atom_site_fract_x
_atom_site_fract_y
_atom_site_fract_z
Lu1 Lu 0.035 0.061 0.655
Ni1 Ni 0.000 0.250 0.125
H1 H 0.000 0.000 0.000
H2 H 0.000 0.250 0.375
```

## Properties
* final energy: -94.26 eV per formula unit
* magnetic moment: 0.00 μB/cell
* crystal system: cubic



(5)
Here is an optimized crystal structure of Nb2PC from Alexandria. Energies are from PBE.

Cell and atoms, written as CIF:
```
data_Nb2PC
_symmetry_space_group_name_H-M 'R -3 m'
_symmetry_Int_Tables_number 166
_symmetry_space_group_name_Hall '-R 3 2"'
_cell_length_a 3.3096
_cell_length_b 3.3096
_cell_length_c 17.7217
_cell_angle_alpha 90.00
_cell_angle_beta 90.00
_cell_angle_gamma 120.00
loop_
_atom_site_label
_atom_site_type_symbol
_atom_site_fract_x
_atom_site_fract_y
_atom_site_fract_z
Nb1 Nb 0.0000 0.0000 0.2313
P1 P 0.0000 0.0000 0.0000
C1 C 0.0000 0.0000 0.5000
```

## Properties
* final energy: -37.24 eV per formula unit
* magnetic moment: 0.00 μB/cell
* distance to the lowest polymorph of the same formula: 0.148 eV/atom
* energy of formation from the pure elements: -0.616 eV per atom
* crystal system: trigonal



(6)
Here is an optimized crystal structure of NpGa2Hg from Alexandria. Energies are from PBE.

Cell and atoms, written as CIF:
```
data_NpGa2Hg
_symmetry_space_group_name_H-M 'P 4/m m m'
_symmetry_Int_Tables_number 123
_symmetry_space_group_name_Hall '-P 4 2'
_cell_length_a 4.644
_cell_length_b 4.644
_cell_length_c 3.988
_cell_angle_alpha 90.00
_cell_angle_beta 90.00
_cell_angle_gamma 90.00
loop_
_atom_site_label
_atom_site_type_symbol
_atom_site_fract_x
_atom_site_fract_y
_atom_site_fract_z
Np1 Np 0.000 0.000 0.000
Ga1 Ga 0.000 0.500 0.500
Hg1 Hg 0.500 0.500 0.000
```

## Properties
* final energy: -19.39 eV per formula unit
* magnetic moment: 4.32 μB/cell
* distance to the lowest polymorph of the same formula: 0.000 eV/atom
* energy of formation from the pure elements: -0.023 eV per atom
* crystal system: tetragonal



(7)
Here is an optimized crystal structure of CrAsAu from Alexandria. Energies are from PBE.

Cell and atoms, written as CIF:
```
data_CrAsAu
_symmetry_space_group_name_H-M 'F -4 3 m'
_symmetry_Int_Tables_number 216
_symmetry_space_group_name_Hall 'F -4 2 3'
_cell_length_a 6.082
_cell_length_b 6.082
_cell_length_c 6.082
_cell_angle_alpha 90.00
_cell_angle_beta 90.00
_cell_angle_gamma 90.00
loop_
_atom_site_label
_atom_site_type_symbol
_atom_site_fract_x
_atom_site_fract_y
_atom_site_fract_z
Cr1 Cr 0.000 0.000 0.000
As1 As 0.250 0.250 0.250
Au1 Au 0.250 0.250 0.750
```

## Properties
* final energy: -17.11 eV per formula unit
* magnetic moment: 11.28 μB/cell
* distance to the lowest polymorph of the same formula: 0.017 eV/atom
* energy of formation from the pure elements: 0.146 eV per atom
* crystal system: cubic



(8)
Here is an optimized crystal structure of LaAgIr2 from Alexandria. Energies are from PBE.

Cell and atoms, written as CIF:
```
data_LaAgIr2
_symmetry_space_group_name_H-M 'F -4 3 m'
_symmetry_Int_Tables_number 216
_symmetry_space_group_name_Hall 'F -4 2 3'
_cell_length_a 6.790
_cell_length_b 6.790
_cell_length_c 6.790
_cell_angle_alpha 90.00
_cell_angle_beta 90.00
_cell_angle_gamma 90.00
loop_
_atom_site_label
_atom_site_type_symbol
_atom_site_fract_x
_atom_site_fract_y
_atom_site_fract_z
La1 La 0.000 0.000 0.000
Ag1 Ag 0.250 0.250 0.750
Ir1 Ir 0.000 0.000 0.500
Ir2 Ir 0.250 0.250 0.250
```

## Properties
* final energy: -24.85 eV per formula unit
* magnetic moment: 3.33 μB/cell
* distance to the lowest polymorph of the same formula: 0.248 eV/atom
* energy of formation from the pure elements: 0.162 eV per atom
* crystal system: cubic



(9)
Here is an optimized crystal structure of Tb4YTh from Alexandria. Energies are from PBE.

Cell and atoms, written as CIF:
```
data_Tb4YTh
_symmetry_space_group_name_H-M 'F -4 3 m'
_symmetry_Int_Tables_number 216
_symmetry_space_group_name_Hall 'F -4 2 3'
_cell_length_a 9.267
_cell_length_b 9.267
_cell_length_c 9.267
_cell_angle_alpha 90.00
_cell_angle_beta 90.00
_cell_angle_gamma 90.00
loop_
_atom_site_label
_atom_site_type_symbol
_atom_site_fract_x
_atom_site_fract_y
_atom_site_fract_z
Tb1 Tb 0.125 0.125 0.125
Y1 Y 0.000 0.000 0.500
Th1 Th 0.250 0.250 0.750
```

## Properties
* final energy: -30.54 eV per formula unit
* magnetic moment: 8.05 μB/cell
* distance to the lowest polymorph of the same formula: 0.294 eV/atom
* energy of formation from the pure elements: 0.311 eV per atom
* crystal system: cubic



(10)
Here is an optimized crystal structure of LiMg2Tl4 from Alexandria. Energies are from PBE.

Cell and atoms, written as CIF:
```
data_LiMg2Tl4
_symmetry_space_group_name_H-M 'I 4/m m m'
_symmetry_Int_Tables_number 139
_symmetry_space_group_name_Hall '-I 4 2'
_cell_length_a 7.240
_cell_length_b 7.240
_cell_length_c 6.938
_cell_angle_alpha 90.00
_cell_angle_beta 90.00
_cell_angle_gamma 90.00
loop_
_atom_site_label
_atom_site_type_symbol
_atom_site_fract_x
_atom_site_fract_y
_atom_site_fract_z
Li1 Li 0.000 0.000 0.000
Mg1 Mg 0.000 0.500 0.000
Tl1 Tl 0.250 0.250 0.250
```

## Properties
* final energy: -14.84 eV per formula unit
* magnetic moment: 0.00 μB/cell
* distance to the lowest polymorph of the same formula: 0.002 eV/atom
* energy of formation from the pure elements: -0.039 eV per atom
* crystal system: tetragonal



(11)
Here is an optimized crystal structure of PmDyTlSn from Alexandria. Energies are from PBE.

Cell and atoms, written as CIF:
```
data_PmDyTlSn
_symmetry_space_group_name_H-M 'A m m 2'
_symmetry_Int_Tables_number 38
_symmetry_space_group_name_Hall 'A 2 -2'
_cell_length_a 4.376
_cell_length_b 4.616
_cell_length_c 11.600
_cell_angle_alpha 90.00
_cell_angle_beta 90.00
_cell_angle_gamma 90.00
loop_
_atom_site_label
_atom_site_type_symbol
_atom_site_fract_x
_atom_site_fract_y
_atom_site_fract_z
Pm1 Pm 0.000 0.000 0.000
Dy1 Dy 0.500 0.000 0.730
Tl1 Tl 0.500 0.000 0.456
Sn1 Sn 0.000 0.000 0.275
```

## Properties
* final energy: -17.93 eV per formula unit
* magnetic moment: 0.00 μB/cell
* distance to the lowest polymorph of the same formula: 0.000 eV/atom
* energy of formation from the pure elements: -0.553 eV per atom
* crystal system: orthorhombic



(12)
Here is an optimized crystal structure of Pr2CO from Alexandria. Energies are from PBE.

Cell and atoms, written as CIF:
```
data_Pr2CO
_symmetry_space_group_name_H-M 'R 3 m'
_symmetry_Int_Tables_number 160
_symmetry_space_group_name_Hall 'R 3 -2"'
_cell_length_a 3.6842
_cell_length_b 3.6842
_cell_length_c 19.1172
_cell_angle_alpha 90.00
_cell_angle_beta 90.00
_cell_angle_gamma 120.00
loop_
_atom_site_label
_atom_site_type_symbol
_atom_site_fract_x
_atom_site_fract_y
_atom_site_fract_z
Pr1 Pr 0.0000 0.0000 0.0000
Pr2 Pr 0.0000 0.0000 0.1761
C1 C 0.0000 0.0000 0.5817
O1 O 0.0000 0.0000 0.4052
```

## Properties
* final energy: -28.87 eV per formula unit
* E_form (uncorrected): -5.13 eV/f.u.
* magnetic moment: 0.00 μB/cell
* distance to the lowest polymorph of the same formula: 0.120 eV/atom
* crystal system: trigonal